Record 1
A relaxed Dy4YHo2Sc crystal, computed with PBE.

- Space group: P4/mmm (123)
- Calculated formation energy: 3.1 kJ per mole of atoms

abc: 4.9649 4.9659 11.0642
angles: 63.32 90.00 90.00
Fractional coordinates of all 8 atoms:
Dy: 0.5000 0.2565 0.7442
Sc: 0.0000 0.5000 0.5000
Dy: 0.0000 0.2434 0.2558
Ho: 0.0000 0.0000 0.0000
Dy: 0.5000 0.7435 0.2558
Y: 0.5000 0.5000 0.0000
Dy: 0.0000 0.7566 0.7442
Ho: 0.5000 0.0000 0.5000

Record 2
A relaxed Hf2SiMo3 crystal, computed with PBE.

- Space group: P6_3/mmc (194)
- ΔE_f (raw): -0.3691 eV/atom

abc: 5.2911 5.2911 8.5938
angles: 90.00 90.00 120.00
Fractional coordinates of all 12 atoms:
Mo: 0.1703 0.3406 0.7500
Mo: 0.1703 0.8297 0.7500
Hf: 0.6667 0.3333 0.5633
Mo: 0.8297 0.1703 0.2500
Si: 0.0000 0.0000 0.5000
Hf: 0.3333 0.6667 0.0633
Hf: 0.3333 0.6667 0.4367
Si: 0.0000 0.0000 0.0000
Mo: 0.8297 0.6594 0.2500
Mo: 0.6594 0.8297 0.7500
Mo: 0.3406 0.1703 0.2500
Hf: 0.6667 0.3333 0.9367

Calculated total energy values (in Ry/atom) by entry order: -0.3684, -0.7354.
Density of states at the Fermi level values (in states/eV per atom) by entry order: 1.4768, 0.7497.